1.
Below is crystalline Sc4Ag3 at its relaxed geometry, with properties calculated at the GGA-PBE level.

a b c (Å): 12.3396 12.3396 12.3396
angles (deg): 163.70 163.70 23.13
Fractional positions:
Sc: 0.0694 0.0694 0.0000
Sc: 0.3447 0.3447 0.0000
Sc: 0.6553 0.6553 0.0000
Sc: 0.9306 0.9306 0.0000
Ag: 0.2173 0.2173 0.0000
Ag: 0.5000 0.5000 0.0000
Ag: 0.7827 0.7827 0.0000

Values from the calculation:
For the total energy, the calculation gives -5.01 eV per atom. The formation enthalpy at 0 K is -0.17 eV per atom. The value obtained for the energy above the lowest structure with this stoichiometry is 0.00 eV/f.u. The value obtained for the density of states at the Fermi level is 6.25 states/eV per cell.

=====

2.
Below is crystalline Sc4Ag5 at its relaxed geometry, with properties calculated at the GGA-PBE level.

a b c (Å): 6.7132 6.7132 6.7132
angles (deg): 96.67 96.67 140.16
Fractional positions:
Sc: 0.0000 0.3226 0.3226
Sc: 0.0000 0.6774 0.6774
Sc: 0.3226 0.0000 0.3226
Sc: 0.6774 0.0000 0.6774
Ag: 0.0000 0.0000 0.0000
Ag: 0.3353 0.3353 0.6706
Ag: 0.3353 0.6647 0.0000
Ag: 0.6647 0.3353 0.0000
Ag: 0.6647 0.6647 0.3294

Values from the calculation:
For the total energy, the calculation gives -4.55 eV per atom. The formation enthalpy at 0 K is -0.15 eV per atom. The value obtained for the energy above the lowest structure with this stoichiometry is 0.14 eV/f.u. The value obtained for the density of states at the Fermi level is 9.72 states/eV per cell.

=====

3.
Below is crystalline Sc2Ag at its relaxed geometry, with properties calculated at the GGA-PBE level.

a b c (Å): 5.4516 5.4516 8.5382
angles (deg): 113.88 113.88 34.71
Fractional positions:
Sc: 0.0003 0.0003 0.2111
Sc: 0.9997 0.9997 0.7889
Sc: 0.3406 0.3406 0.4213
Sc: 0.6594 0.6594 0.5787
Ag: 0.3154 0.3154 0.9046
Ag: 0.6846 0.6846 0.0954

Values from the calculation:
For the total energy, the calculation gives -5.28 eV per atom. The formation enthalpy at 0 K is -0.11 eV per atom. The value obtained for the density of states at the Fermi level is 9.05 states/eV per cell.

=====

4.
Below is crystalline Sc3Ag4 at its relaxed geometry, with properties calculated at the GGA-PBE level.

a b c (Å): 5.7727 5.7727 5.1445
angles (deg): 90.00 90.00 120.00
Fractional positions:
Sc: 0.0000 0.5000 0.0000
Sc: 0.5000 0.0000 0.0000
Sc: 0.5000 0.5000 0.0000
Ag: 0.0000 0.0000 0.2531
Ag: 0.0000 0.0000 0.7469
Ag: 0.3333 0.6667 0.5000
Ag: 0.6667 0.3333 0.5000

Values from the calculation:
For the total energy, the calculation gives -4.21 eV per atom. The formation enthalpy at 0 K is 0.14 eV per atom. The value obtained for the energy above the lowest structure with this stoichiometry is 2.61 eV/f.u. The value obtained for the density of states at the Fermi level is 5.15 states/eV per cell.

=====

5.
Below is crystalline Sc2Ag at its relaxed geometry, with properties calculated at the GGA-PBE level.

a b c (Å): 7.9999 7.9999 4.9799
angles (deg): 90.00 90.00 155.99
Fractional positions:
Sc: 0.0889 0.9111 0.7500
Sc: 0.2241 0.7759 0.2500
Sc: 0.7759 0.2241 0.7500
Sc: 0.9111 0.0889 0.2500
Ag: 0.4304 0.5696 0.7500
Ag: 0.5696 0.4304 0.2500

Values from the calculation:
For the total energy, the calculation gives -5.34 eV per atom. The formation enthalpy at 0 K is -0.17 eV per atom. The value obtained for the density of states at the Fermi level is 7.10 states/eV per cell.

=====

6.
Below is crystalline Sc4Ag at its relaxed geometry, with properties calculated at the GGA-PBE level.

a b c (Å): 5.4385 5.4385 5.4385
angles (deg): 101.10 101.10 127.95
Fractional positions:
Sc: 0.1188 0.6852 0.8040
Sc: 0.3148 0.1188 0.4336
Sc: 0.6852 0.8812 0.5664
Sc: 0.8812 0.3148 0.1960
Ag: 0.5000 0.5000 0.0000

Values from the calculation:
For the total energy, the calculation gives -5.63 eV per atom. The formation enthalpy at 0 K is 0.00 eV per atom. The value obtained for the energy above the lowest structure with this stoichiometry is 0.36 eV/f.u. The value obtained for the density of states at the Fermi level is 8.88 states/eV per cell.

=====

7.
Below is crystalline Sc5Ag4 at its relaxed geometry, with properties calculated at the GGA-PBE level.

a b c (Å): 6.7985 6.7985 6.7985
angles (deg): 96.30 96.30 141.32
Fractional positions:
Sc: 0.0000 0.0000 0.0000
Sc: 0.3288 0.3288 0.6575
Sc: 0.3288 0.6712 0.0000
Sc: 0.6712 0.3288 0.0000
Sc: 0.6712 0.6712 0.3425
Ag: 0.0000 0.3340 0.3340
Ag: 0.0000 0.6660 0.6660
Ag: 0.3340 0.0000 0.3340
Ag: 0.6660 0.0000 0.6660

Values from the calculation:
For the total energy, the calculation gives -4.86 eV per atom. The formation enthalpy at 0 K is -0.07 eV per atom. The value obtained for the energy above the lowest structure with this stoichiometry is 0.81 eV/f.u. The value obtained for the density of states at the Fermi level is 12.73 states/eV per cell.

=====

8.
Below is crystalline Sc2Ag at its relaxed geometry, with properties calculated at the GGA-PBE level.

a b c (Å): 7.0778 7.0778 4.6395
angles (deg): 90.00 90.00 120.00
Fractional positions:
Sc: 0.0000 0.2557 0.0000
Sc: 0.0000 0.5881 0.5000
Sc: 0.2557 0.0000 0.0000
Sc: 0.4119 0.4119 0.5000
Sc: 0.5881 0.0000 0.5000
Sc: 0.7443 0.7443 0.0000
Ag: 0.0000 0.0000 0.5000
Ag: 0.3333 0.6667 0.0000
Ag: 0.6667 0.3333 0.0000

Values from the calculation:
For the total energy, the calculation gives -5.30 eV per atom. The formation enthalpy at 0 K is -0.12 eV per atom. The value obtained for the density of states at the Fermi level is 6.29 states/eV per cell.